# Nd2ZnGa6Ag

A geometry-optimized Nd2ZnGa6Ag structure (PBE-GGA, the Alexandria database).

The structure belongs to space group R-3m (No. 166, hexagonal axes); the cell edges are 6.4100, 6.4100 and 36.3258 Å and the angles 90.00°, 90.00° and 120.00°. Symmetry generates all atoms from Nd at (0.0000, 0.0000, 0.1105), Nd at (0.0000, 0.0000, 0.2938), Zn at (0.0000, 0.0000, 0.4294), Ga at (0.0500, 0.5250, 0.2929), Ga at (0.0726, 0.5363, 0.8721), Ag at (0.0000, 0.0000, 0.0000) and Ag at (0.0000, 0.0000, 0.5000).

The value obtained for the total energy is -3.431 eV per atom. For the formation energy, the calculation gives -249.0 meV per atom. For the total moment, the calculation gives 0.0000 μB/atom. The crystal system is trigonal.

=====

# Nd2Zn3Ga4Ag

A geometry-optimized Nd2Zn3Ga4Ag structure (PBE-GGA, the Alexandria database).

The structure belongs to space group P-4m2 (No. 115); the cell edges are 4.291, 4.291 and 10.691 Å and the angles 90.00°, 90.00° and 90.00°. Symmetry generates all atoms from Nd at (0.000, 0.500, 0.246), Zn at (0.000, 0.500, 0.866), Zn at (0.500, 0.500, 0.500), Ga at (0.000, 0.000, 0.000), Ga at (0.000, 0.500, 0.638), Ga at (0.500, 0.500, 0.000) and Ag at (0.000, 0.000, 0.500).

The value obtained for the total energy is -3.283 eV per atom. For the formation energy, the calculation gives -451.0 meV per atom. For the total moment, the calculation gives 0.0000 μB/atom. The crystal system is tetragonal.

=====

# NdZnGa2Ag

A geometry-optimized NdZnGa2Ag structure (PBE-GGA, the Alexandria database).

The structure belongs to space group I-4m2 (No. 119); the cell edges are 4.302, 4.302 and 10.844 Å and the angles 90.00°, 90.00° and 90.00°. Symmetry generates all atoms from Nd at (0.000, 0.000, 0.000), Zn at (0.000, 0.500, 0.250), Ga at (0.000, 0.000, 0.387) and Ag at (0.000, 0.500, 0.750).

The value obtained for the total energy is -3.430 eV per atom. For the formation energy, the calculation gives -440.5 meV per atom. For the total moment, the calculation gives 0.0000 μB/atom. The crystal system is tetragonal.

=====

# NdZrGaAg

A geometry-optimized NdZrGaAg structure (PBE-GGA, the Alexandria database).

The structure belongs to space group F-43m (No. 216); the cell edges are 7.145, 7.145 and 7.145 Å and the angles 90.00°, 90.00° and 90.00°. Symmetry generates all atoms from Nd at (0.000, 0.000, 0.000), Zr at (0.000, 0.000, 0.500), Ga at (0.250, 0.250, 0.250) and Ag at (0.250, 0.250, 0.750).

The value obtained for the total energy is -5.038 eV per atom. For the formation energy, the calculation gives -239.6 meV per atom. For the total moment, the calculation gives 0.1732 μB/atom. The crystal system is cubic.

=====

# Ga2NiAg

A geometry-optimized Ga2NiAg structure (PBE-GGA, the Alexandria database).

The structure belongs to space group I-42d (No. 122); the cell edges are 7.113, 7.113 and 5.353 Å and the angles 90.00°, 90.00° and 90.00°. Symmetry generates all atoms from Ga at (0.205, 0.750, 0.125), Ni at (0.000, 0.000, 0.000) and Ag at (0.000, 0.000, 0.500).

The value obtained for the total energy is -3.568 eV per atom. The value obtained for the energy above the most stable polymorph in this dataset is 245 meV/atom. For the formation energy, the calculation gives 103.3 meV per atom. For the total moment, the calculation gives 0.0000 μB/atom. The crystal system is tetragonal.

=====

# GaNi2Ag

A geometry-optimized GaNi2Ag structure (PBE-GGA, the Alexandria database).

The structure belongs to space group I-42d (No. 122); the cell edges are 6.747, 6.747 and 5.142 Å and the angles 90.00°, 90.00° and 90.00°. Symmetry generates all atoms from Ga at (0.000, 0.000, 0.000), Ni at (0.222, 0.250, 0.125) and Ag at (0.000, 0.000, 0.500).

The value obtained for the total energy is -4.163 eV per atom. For the formation energy, the calculation gives 197.6 meV per atom. For the total moment, the calculation gives 0.0000 μB/atom. The crystal system is tetragonal.

=====

# Ga3NiAg

A geometry-optimized Ga3NiAg structure (PBE-GGA, the Alexandria database).

The structure belongs to space group Pm-3m (No. 221); the cell edges are 4.574, 4.574 and 4.574 Å and the angles 90.00°, 90.00° and 90.00°. Symmetry generates all atoms from Ga at (0.000, 0.000, 0.500), Ni at (0.000, 0.000, 0.000) and Ag at (0.500, 0.500, 0.500).

The value obtained for the total energy is -3.533 eV per atom. The value obtained for the energy above the most stable polymorph in this dataset is 0 meV/atom. For the formation energy, the calculation gives 10.0 meV per atom. For the total moment, the calculation gives 0.0000 μB/atom. The crystal system is cubic.

=====

# GaNi2Ag

A geometry-optimized GaNi2Ag structure (PBE-GGA, the Alexandria database).

The structure belongs to space group P4/mmm (No. 123); the cell edges are 3.894, 3.894 and 3.520 Å and the angles 90.00°, 90.00° and 90.00°. Symmetry generates all atoms from Ga at (0.000, 0.000, 0.000), Ni at (0.000, 0.500, 0.500) and Ag at (0.500, 0.500, 0.000).

The value obtained for the total energy is -4.445 eV per atom. For the formation energy, the calculation gives -84.9 meV per atom. For the total moment, the calculation gives 0.0000 μB/atom. The crystal system is tetragonal.

=====

# Ga2NiAg

A geometry-optimized Ga2NiAg structure (PBE-GGA, the Alexandria database).

The structure belongs to space group P4/mmm (No. 123); the cell edges are 2.927, 2.927 and 7.024 Å and the angles 90.00°, 90.00° and 90.00°. Symmetry generates all atoms from Ga at (0.000, 0.000, 0.208), Ni at (0.500, 0.500, 0.000) and Ag at (0.500, 0.500, 0.500).

The value obtained for the total energy is -3.814 eV per atom. The value obtained for the energy above the most stable polymorph in this dataset is 0 meV/atom. For the formation energy, the calculation gives -142.1 meV per atom. For the total moment, the calculation gives 0.0000 μB/atom. The crystal system is tetragonal.

=====

# Ga6NiAg

A geometry-optimized Ga6NiAg structure (PBE-GGA, the Alexandria database).

The structure belongs to space group C2/m (No. 12); the cell edges are 6.983, 8.420 and 5.329 Å and the angles 90.00°, 108.33° and 90.00°. Symmetry generates all atoms from Ga at (0.086, 0.212, 0.300), Ga at (0.202, 0.500, 0.120), Ni at (0.000, 0.000, 0.000) and Ag at (0.000, 0.500, 0.500).

The value obtained for the total energy is -3.383 eV per atom. For the formation energy, the calculation gives -33.3 meV per atom. For the total moment, the calculation gives 0.0000 μB/atom. The crystal system is monoclinic.

=====

# Ga2NiAg

A geometry-optimized Ga2NiAg structure (PBE-GGA, the Alexandria database).

The structure belongs to space group Fm-3m (No. 225); the cell edges are 6.207, 6.207 and 6.207 Å and the angles 90.00°, 90.00° and 90.00°. Symmetry generates all atoms from Ga at (0.250, 0.250, 0.250), Ni at (0.000, 0.000, 0.000) and Ag at (0.000, 0.000, 0.500).

The value obtained for the total energy is -3.709 eV per atom. The value obtained for the energy above the most stable polymorph in this dataset is 104 meV/atom. For the formation energy, the calculation gives -37.8 meV per atom. For the total moment, the calculation gives 0.0000 μB/atom. The crystal system is cubic.

=====

# Ga2NiAg

A geometry-optimized Ga2NiAg structure (PBE-GGA, the Alexandria database).

The structure belongs to space group R3m (No. 160, hexagonal axes); the cell edges are 4.0620, 4.0620 and 13.8169 Å and the angles 90.00°, 90.00° and 120.00°. Symmetry generates all atoms from Ga at (0.0000, 0.0000, 0.0000), Ga at (0.0000, 0.0000, 0.2193), Ni at (0.0000, 0.0000, 0.5925) and Ag at (0.0000, 0.0000, 0.7838).

The value obtained for the total energy is -3.768 eV per atom. The value obtained for the energy above the most stable polymorph in this dataset is 46 meV/atom. For the formation energy, the calculation gives -96.4 meV per atom. For the total moment, the calculation gives 0.0000 μB/atom. The crystal system is trigonal.